Density functional theory data (GGA-PBE) for a geometry-optimized AlRhBr structure.

Output
SG = Fmm2 (42)
E above lowest polymorph = 136 meV per atom
Energy relative to the elements, uncorrected = -145 meV per atom

a b c (Å): 5.923 5.925 3.172
angles (deg): 74.44 74.50 31.06
Element x y z (fractional)
Al 0.033 0.033 0.967
Br 0.330 0.330 0.670
Rh 0.637 0.637 0.363